Record 1
TcPbCl2 PBE relaxed; ΔE_f (raw) = 61.3 meV per atom; symmetry = No. 65
1.0
3.317 0.021 0.000
-1.833 2.764 0.000
0.000 0.000 10.732
Pb Tc Cl
1 1 2
Direct
0.500 0.500 0.250
0.500 0.500 0.750
0.000 0.000 0.920
0.000 0.000 0.580

=====

Record 2
SrTb2Y PBE relaxed; formation enthalpy at 0 K = 21 kJ/mol of atoms; symmetry = No. 166
1.0
3.618 0.000 0.000
1.809 3.134 0.000
1.809 1.045 12.828
Y Sr Tb
1 1 2
Direct
0.500 0.500 0.500
0.000 0.000 0.000
0.093 0.093 0.721
0.907 0.907 0.279

=====

Record 3
K2Mg PBE relaxed; formation enthalpy at 0 K = 18 kJ/mol of atoms; symmetry = No. 189
1.0
-4.372 7.670 -6.149
-2.988 -1.002 10.287
3.379 2.943 1.268
K Mg
6 3
Direct
0.000 0.726 0.500
0.274 0.274 0.500
0.726 0.000 0.500
0.000 0.391 0.000
0.609 0.609 0.000
0.391 0.000 0.000
0.000 0.000 0.000
0.667 0.333 0.500
0.333 0.667 0.500

=====

Record 4
Zr2SbMo PBE relaxed; ΔE_f (raw) = -164.9 meV per atom; symmetry = No. 99
1.0
-1.520 -3.274 0.090
0.480 -0.124 3.576
-5.640 2.641 0.850
Mo Sb Zr
1 1 2
Direct
0.000 0.000 0.514
0.500 0.500 0.738
0.000 0.000 0.987
0.500 0.500 0.261

=====

Record 5
Nb2PdSe6 PBE relaxed; ΔE_f (raw) = -470.5 meV per atom; symmetry = No. 136
1.0
6.176 0.000 0.000
0.000 6.176 0.000
0.000 0.000 11.133
Nb Pd Se
4 2 12
Direct
0.500 0.500 0.349
0.500 0.500 0.651
0.000 0.000 0.151
0.000 0.000 0.849
0.500 0.500 0.000
0.000 0.000 0.500
0.697 0.697 0.173
0.697 0.697 0.827
0.712 0.712 0.500
0.788 0.212 0.000
0.803 0.197 0.327
0.803 0.197 0.673
0.197 0.803 0.327
0.197 0.803 0.673
0.212 0.788 0.000
0.288 0.288 0.500
0.303 0.303 0.173
0.303 0.303 0.827

=====

Record 6
Cd11Hg17Pb PBE relaxed; formation enthalpy at 0 K = 3 kJ/mol of atoms; symmetry = No. 8
1.0
-8.965 3.490 -1.346
0.918 -9.273 -2.748
1.896 0.380 9.907
Cd Hg Pb
11 17 1
Direct
0.170 0.170 0.814
0.610 0.803 0.992
0.202 0.417 0.423
0.788 0.982 0.585
0.633 0.016 0.819
0.808 0.188 0.192
0.188 0.808 0.193
0.016 0.634 0.819
0.982 0.788 0.585
0.417 0.202 0.423
0.803 0.610 0.992
0.028 0.029 0.255
0.742 0.742 0.279
0.601 0.601 0.603
0.419 0.419 0.756
0.908 0.908 0.885
0.292 0.582 0.006
0.409 0.756 0.434
0.021 0.308 0.600
0.021 0.295 0.032
0.289 0.733 0.723
0.572 0.993 0.291
0.993 0.572 0.291
0.733 0.289 0.723
0.295 0.021 0.032
0.308 0.021 0.600
0.757 0.409 0.434
0.582 0.292 0.005
0.411 0.411 0.212

=====

Record 7
Pm2CuPd PBE relaxed; formation enthalpy at 0 K = -45 kJ/mol of atoms; symmetry = No. 225
1.0
-0.793 -3.629 -3.462
3.945 -2.373 -2.142
0.969 -4.853 1.140
Cu Pd Pm
1 1 2
Direct
0.250 0.250 0.250
0.750 0.750 0.750
0.500 0.500 0.500
0.000 0.000 0.000

=====

Record 8
Ni3SnTe5 PBE relaxed; ΔE_f (raw) = -205.5 meV per atom; symmetry = No. 10
1.0
3.966 0.000 0.000
0.000 6.413 -0.051
0.000 0.436 16.098
Ni Sn Te
6 2 10
Direct
0.000 0.000 0.000
0.000 0.993 0.666
0.000 0.007 0.334
0.500 0.504 0.838
0.500 0.500 0.500
0.500 0.496 0.162
0.000 0.642 0.258
0.000 0.358 0.742
0.500 0.856 0.758
0.500 0.859 0.094
0.500 0.859 0.421
0.000 0.638 0.925
0.000 0.635 0.592
0.000 0.365 0.408
0.000 0.362 0.075
0.500 0.141 0.906
0.500 0.141 0.579
0.500 0.144 0.242

=====

Record 9
Er3Mg2Ag4 PBE relaxed; formation enthalpy at 0 K = -23 kJ/mol of atoms; symmetry = No. 12
1.0
5.000 0.000 0.000
-2.500 4.326 0.318
0.000 -0.679 9.206
Er Mg Ag
3 2 4
Direct
0.334 0.667 0.594
0.000 0.000 0.000
0.666 0.333 0.406
0.333 0.666 0.222
0.667 0.334 0.778
0.667 0.334 0.084
0.001 0.002 0.662
0.999 0.998 0.338
0.333 0.666 0.916

=====

Record 10
MgRu2Br PBE relaxed; ΔE_f (raw) = 175.1 meV per atom; symmetry = No. 99
1.0
3.032 0.000 0.000
0.000 3.032 0.000
0.000 0.000 7.493
Br Mg Ru
1 1 2
Direct
0.000 0.000 0.490
0.500 0.500 0.775
0.000 0.000 0.020
0.500 0.500 0.215

=====

Record 11
TcPW2 PBE relaxed; formation enthalpy at 0 K = 22 kJ/mol of atoms; symmetry = No. 139
1.0
2.121 -2.895 3.532
-1.847 -4.644 0.614
1.562 2.860 -3.838
Tc P W
1 1 2
Direct
0.000 0.000 0.000
0.500 0.500 0.000
0.750 0.250 0.500
0.250 0.750 0.500

=====

Record 12
KMo3H PBE relaxed; electronic total energy = -0.217 hartree per atom; symmetry = No. 221
1.0
-2.958 -2.006 2.312
2.439 0.398 3.466
-1.850 3.733 0.873
H Mo K
1 3 1
Direct
0.000 0.000 0.000
0.000 0.500 0.000
0.000 0.000 0.500
0.500 0.000 0.000
0.500 0.500 0.500

=====

Number 1: D(E_F) 3.050 states/eV/cell, calculated volume 98.8 Å³ per cell. Number 2: D(E_F) 5.831 states/eV/cell, calculated volume 145.5 Å³ per cell. Number 3: D(E_F) 5.995 states/eV/cell, calculated volume 466.8 Å³ per cell. Number 4: D(E_F) 3.103 states/eV/cell, calculated volume 81.9 Å³ per cell. Number 5: D(E_F) 9.390 states/eV/cell, calculated volume 424.7 Å³ per cell. Number 6: D(E_F) 9.493 states/eV/cell, calculated volume 740.2 Å³ per cell. Number 7: D(E_F) 3.885 states/eV/cell, calculated volume 92.6 Å³ per cell. Number 8: D(E_F) 11.265 states/eV/cell, calculated volume 409.5 Å³ per cell. Number 9: D(E_F) 6.570 states/eV/cell, calculated volume 200.2 Å³ per cell. Number 10: D(E_F) 3.742 states/eV/cell, calculated volume 68.9 Å³ per cell. Number 11: D(E_F) 2.637 states/eV/cell, calculated volume 58.8 Å³ per cell. Number 12: D(E_F) 5.354 states/eV/cell, calculated volume 77.1 Å³ per cell.